a | KZr2Br | PBEsol | relaxed

## Properties
Fermi-level density of states ... 19.2 states/eV per cell

a = 7.451 Å, b = 7.451 Å, c = 7.451 Å
α = 90.00°, β = 90.00°, γ = 90.00°
Space group F-43m (No. 216)
Asymmetric unit:
K: 0.000 0.000 0.000 x4
Zr: 0.000 0.000 0.500 x4
Zr: 0.250 0.250 0.750 x4
Br: 0.250 0.250 0.250 x4

=====

b | KZr2Br | PBEsol | relaxed

## Properties
Fermi-level density of states ... 0.8 states/eV per cell

a = 3.271 Å, b = 3.271 Å, c = 9.780 Å
α = 90.00°, β = 90.00°, γ = 90.00°
Space group P4mm (No. 99)
Asymmetric unit:
K: 0.000 0.000 0.000 x1
Zr: 0.000 0.000 0.545 x1
Zr: 0.500 0.500 0.339 x1
Br: 0.500 0.500 0.759 x1

=====

c | KZr2Br | PBEsol | relaxed

## Properties
Fermi-level density of states ... 11.9 states/eV per cell

a = 3.2223 Å, b = 3.2223 Å, c = 33.8432 Å
α = 90.00°, β = 90.00°, γ = 120.00°
Space group R-3m (No. 166, hexagonal axes)
Asymmetric unit:
K: 0.0000 0.0000 0.0000 x3
Zr: 0.0000 0.0000 0.2327 x6
Br: 0.0000 0.0000 0.5000 x3

=====

Which structure loses on stability? a does.

=====

a | KZrBr2 | PBEsol | relaxed

## Properties
Fermi-level density of states ... 12.8 states/eV per cell

a = 7.323 Å, b = 7.323 Å, c = 7.323 Å
α = 90.00°, β = 90.00°, γ = 90.00°
Space group Fm-3m (No. 225)
Asymmetric unit:
K: 0.000 0.000 0.000 x4
Zr: 0.000 0.000 0.500 x4
Br: 0.250 0.250 0.250 x8

=====

b | KZrBr2 | PBEsol | relaxed

## Properties
Fermi-level density of states ... 2.2 states/eV per cell

a = 3.501 Å, b = 5.303 Å, c = 5.679 Å
α = 90.00°, β = 107.86°, γ = 90.00°
Space group Pm (No. 6)
Asymmetric unit:
K: 0.000 0.000 0.000 x1
Zr: 0.721 0.500 0.446 x1
Br: 0.439 0.500 0.879 x1
Br: 0.725 0.000 0.453 x1

=====

Which structure loses on stability? a does.

=====

a | La3Br | PBEsol | relaxed

## Properties
Fermi-level density of states ... 5.0 states/eV per cell

a = 3.713 Å, b = 5.908 Å, c = 5.522 Å
α = 90.00°, β = 92.57°, γ = 90.00°
Space group P2/m (No. 10)
Asymmetric unit:
La: 0.000 0.000 0.000 x1
La: 0.330 0.500 0.762 x2
Br: 0.500 0.000 0.500 x1

=====

b | La3Br | PBEsol | relaxed

## Properties
Fermi-level density of states ... 7.2 states/eV per cell

a = 3.7268 Å, b = 3.7268 Å, c = 31.4127 Å
α = 90.00°, β = 90.00°, γ = 120.00°
Space group R-3m (No. 166, hexagonal axes)
Asymmetric unit:
La: 0.0000 0.0000 0.0000 x3
La: 0.0000 0.0000 0.2419 x6
Br: 0.0000 0.0000 0.5000 x3

=====

c | La3Br | PBEsol | relaxed

## Properties
Fermi-level density of states ... 8.6 states/eV per cell

a = 3.753 Å, b = 9.737 Å, c = 6.563 Å
α = 90.00°, β = 90.00°, γ = 90.00°
Space group Imm2 (No. 44)
Asymmetric unit:
La: 0.000 0.000 0.000 x2
La: 0.000 0.205 0.386 x4
Br: 0.000 0.500 0.135 x2

=====

Which structure loses on stability? a does.

=====

a | La2Br | PBEsol | relaxed

## Properties
Fermi-level density of states ... 12.3 states/eV per cell

a = 3.916 Å, b = 16.251 Å, c = 5.944 Å
α = 90.00°, β = 90.00°, γ = 90.00°
Space group Cmcm (No. 63)
Asymmetric unit:
La: 0.000 0.042 0.250 x4
La: 0.000 0.334 0.250 x4
Br: 0.000 0.314 0.750 x4

=====

b | La2Br | PBEsol | relaxed

## Properties
Fermi-level density of states ... 9.0 states/eV per cell

a = 7.323 Å, b = 7.323 Å, c = 6.485 Å
α = 90.00°, β = 90.00°, γ = 90.00°
Space group I4/mcm (No. 140)
Asymmetric unit:
La: 0.154 0.346 0.000 x8
Br: 0.000 0.000 0.250 x4

=====

Which structure loses on stability? a does.

=====

a | LiLaBr | PBEsol | relaxed

## Properties
Fermi-level density of states ... 12.4 states/eV per cell

a = 6.942 Å, b = 6.942 Å, c = 6.942 Å
α = 90.00°, β = 90.00°, γ = 90.00°
Space group F-43m (No. 216)
Asymmetric unit:
Li: 0.000 0.000 0.000 x4
La: 0.000 0.000 0.500 x4
Br: 0.250 0.250 0.750 x4

=====

b | LiLaBr | PBEsol | relaxed

## Properties
Fermi-level density of states ... 3.1 states/eV per cell

a = 3.6194 Å, b = 3.6194 Å, c = 7.2123 Å
α = 90.00°, β = 90.00°, γ = 120.00°
Space group P3m1 (No. 156)
Asymmetric unit:
Li: 0.0000 0.0000 0.0000 x1
La: 0.6667 0.3333 0.4415 x1
Br: 0.3333 0.6667 0.7638 x1

=====

c | LiLaBr | PBEsol | relaxed

## Properties
Fermi-level density of states ... 14.9 states/eV per cell

a = 3.726 Å, b = 6.090 Å, c = 14.635 Å
α = 90.00°, β = 90.00°, γ = 90.00°
Space group Fmm2 (No. 42)
Asymmetric unit:
Li: 0.000 0.000 0.000 x4
La: 0.000 0.000 0.712 x4
Br: 0.000 0.000 0.380 x4

=====

Which structure loses on stability? a does.

=====

a | La2MgBr | PBEsol | relaxed

## Properties
Fermi-level density of states ... 6.0 states/eV per cell

a = 3.595 Å, b = 5.463 Å, c = 11.935 Å
α = 90.00°, β = 90.00°, γ = 90.00°
Space group Imm2 (No. 44)
Asymmetric unit:
La: 0.000 0.000 0.000 x2
La: 0.000 0.500 0.234 x2
Mg: 0.000 0.500 0.783 x2
Br: 0.000 0.000 0.520 x2

=====

b | La2MgBr | PBEsol | relaxed

## Properties
Fermi-level density of states ... 7.1 states/eV per cell

a = 3.819 Å, b = 6.065 Å, c = 10.313 Å
α = 90.00°, β = 90.00°, γ = 90.00°
Space group Cmm2 (No. 35)
Asymmetric unit:
La: 0.000 0.000 0.000 x2
La: 0.000 0.500 0.278 x2
Mg: 0.000 0.500 0.732 x2
Br: 0.000 0.000 0.514 x2

=====

Which structure loses on stability? b does.

=====

a | LaOs2Br | PBEsol | relaxed

## Properties
Fermi-level density of states ... 13.9 states/eV per cell

a = 2.9500 Å, b = 2.9500 Å, c = 28.4919 Å
α = 90.00°, β = 90.00°, γ = 120.00°
Space group R-3m (No. 166, hexagonal axes)
Asymmetric unit:
La: 0.0000 0.0000 0.0000 x3
Os: 0.0000 0.0000 0.2401 x6
Br: 0.0000 0.0000 0.5000 x3

=====

b | LaOs2Br | PBEsol | relaxed

## Properties
Fermi-level density of states ... 6.7 states/eV per cell

a = 4.084 Å, b = 4.084 Å, c = 8.952 Å
α = 90.00°, β = 90.00°, γ = 90.00°
Space group I-4m2 (No. 119)
Asymmetric unit:
La: 0.000 0.000 0.000 x2
Os: 0.000 0.000 0.500 x2
Os: 0.000 0.500 0.250 x2
Br: 0.000 0.500 0.750 x2

=====

Which structure loses on stability? a does.

=====

a | LaPBr2 | PBEsol | relaxed

## Properties
Fermi-level density of states ... 1.6 states/eV per cell

a = 3.917 Å, b = 3.917 Å, c = 6.487 Å
α = 90.00°, β = 90.00°, γ = 90.00°
Space group P4/mmm (No. 123)
Asymmetric unit:
La: 0.000 0.000 0.000 x1
P: 0.000 0.000 0.500 x1
Br: 0.500 0.500 0.239 x2

=====

b | LaPBr2 | PBEsol | relaxed

## Properties
Fermi-level density of states ... 7.9 states/eV per cell

a = 3.6777 Å, b = 3.6777 Å, c = 29.8785 Å
α = 90.00°, β = 90.00°, γ = 120.00°
Space group R-3m (No. 166, hexagonal axes)
Asymmetric unit:
La: 0.0000 0.0000 0.0000 x3
P: 0.0000 0.0000 0.5000 x3
Br: 0.0000 0.0000 0.2639 x6

=====

Which structure loses on stability? b does.

=====

a | LaRe2Br | PBEsol | relaxed

## Properties
Fermi-level density of states ... 5.9 states/eV per cell

a = 3.693 Å, b = 5.483 Å, c = 8.802 Å
α = 90.00°, β = 90.00°, γ = 90.00°
Space group Imm2 (No. 44)
Asymmetric unit:
La: 0.000 0.000 0.000 x2
Re: 0.000 0.000 0.494 x2
Re: 0.000 0.500 0.826 x2
Br: 0.000 0.500 0.219 x2

=====

b | LaRe2Br | PBEsol | relaxed

## Properties
Fermi-level density of states ... 3.9 states/eV per cell

a = 3.819 Å, b = 3.819 Å, c = 5.614 Å
α = 90.00°, β = 90.00°, γ = 90.00°
Space group P4/mmm (No. 123)
Asymmetric unit:
La: 0.000 0.000 0.000 x1
Re: 0.000 0.500 0.500 x2
Br: 0.500 0.500 0.000 x1

=====

Which structure loses on stability? b does.

=====

a | LaRu2Br | PBEsol | relaxed

## Properties
Fermi-level density of states ... 4.1 states/eV per cell

a = 3.985 Å, b = 3.985 Å, c = 4.778 Å
α = 90.00°, β = 90.00°, γ = 90.00°
Space group P4/mmm (No. 123)
Asymmetric unit:
La: 0.000 0.000 0.000 x1
Ru: 0.000 0.500 0.500 x2
Br: 0.500 0.500 0.000 x1

=====

b | LaRu2Br | PBEsol | relaxed

## Properties
Fermi-level density of states ... 3.8 states/eV per cell

a = 3.387 Å, b = 3.368 Å, c = 7.796 Å
α = 90.00°, β = 102.00°, γ = 90.00°
Space group Pm (No. 6)
Asymmetric unit:
La: 0.000 0.000 0.000 x1
Ru: 0.178 0.000 0.374 x1
Ru: 0.631 0.500 0.273 x1
Br: 0.379 0.500 0.746 x1

=====

c | LaRu2Br | PBEsol | relaxed

## Properties
Fermi-level density of states ... 9.1 states/eV per cell

a = 3.949 Å, b = 3.949 Å, c = 9.319 Å
α = 90.00°, β = 90.00°, γ = 90.00°
Space group I-4m2 (No. 119)
Asymmetric unit:
La: 0.000 0.000 0.000 x2
Ru: 0.000 0.000 0.500 x2
Ru: 0.000 0.500 0.250 x2
Br: 0.000 0.500 0.750 x2

=====

Which structure loses on stability? c does.

=====

a | LaSc2Br | PBEsol | relaxed

## Properties
Fermi-level density of states ... 14.9 states/eV per cell

a = 4.339 Å, b = 4.339 Å, c = 10.749 Å
α = 90.00°, β = 90.00°, γ = 90.00°
Space group I4/mmm (No. 139)
Asymmetric unit:
La: 0.000 0.000 0.000 x2
Sc: 0.000 0.500 0.250 x4
Br: 0.000 0.000 0.500 x2

=====

b | LaSc2Br | PBEsol | relaxed

## Properties
Fermi-level density of states ... 12.3 states/eV per cell

a = 3.777 Å, b = 5.589 Å, c = 9.784 Å
α = 90.00°, β = 90.00°, γ = 90.00°
Space group Cmm2 (No. 35)
Asymmetric unit:
La: 0.000 0.000 0.000 x2
Sc: 0.000 0.000 0.474 x2
Sc: 0.000 0.500 0.715 x2
Br: 0.000 0.500 0.264 x2

=====

Which structure loses on stability? a does.

=====

a | SrLaBr2 | PBEsol | relaxed

## Properties
Fermi-level density of states ... 5.4 states/eV per cell

a = 8.705 Å, b = 3.880 Å, c = 6.905 Å
α = 90.00°, β = 104.49°, γ = 90.00°
Space group C2/m (No. 12)
Asymmetric unit:
Sr: 0.000 0.000 0.000 x2
La: 0.000 0.500 0.500 x2
Br: 0.248 0.000 0.752 x4

=====

b | SrLaBr2 | PBEsol | relaxed

## Properties
Fermi-level density of states ... 8.5 states/eV per cell

a = 4.266 Å, b = 4.266 Å, c = 14.272 Å
α = 90.00°, β = 90.00°, γ = 90.00°
Space group I-4m2 (No. 119)
Asymmetric unit:
Sr: 0.000 0.000 0.000 x2
La: 0.000 0.500 0.750 x2
Br: 0.000 0.000 0.500 x2
Br: 0.000 0.500 0.250 x2

=====

Which structure loses on stability? b does.

=====

a | SrLa2Br | PBEsol | relaxed

## Properties
Fermi-level density of states ... 12.0 states/eV per cell

a = 4.509 Å, b = 4.509 Å, c = 14.205 Å
α = 90.00°, β = 90.00°, γ = 90.00°
Space group I4/mmm (No. 139)
Asymmetric unit:
Sr: 0.000 0.000 0.000 x2
La: 0.000 0.500 0.250 x4
Br: 0.000 0.000 0.500 x2

=====

b | SrLa2Br | PBEsol | relaxed

## Properties
Fermi-level density of states ... 8.6 states/eV per cell

a = 6.677 Å, b = 13.418 Å, c = 3.610 Å
α = 90.00°, β = 122.56°, γ = 90.00°
Space group C2/m (No. 12)
Asymmetric unit:
Sr: 0.000 0.000 0.000 x2
La: 0.250 0.250 0.000 x4
Br: 0.000 0.500 0.000 x2

=====

Which structure loses on stability? a does.